Record 1
AlI2N2 | meta-GGA SCAN | single point on PBEsol structure

ΔE_f (raw) = 5.1 eV/f.u.
Polymorph energy (0 for the lowest one) = 0 meV per atom

Cell lengths 5.9084, 5.9084, 3.4117 Å; angles 90.00, 90.00, 90.00 degrees
With the nearest neighbours (Å) after each atom.
Space group P4/mmm (No. 123)
Unique sites:
1 Al 0.0000 0.0000 0.0000 x1  2 N 1.71
2 I 0.0000 0.5000 0.0000 x2  2 Al 2.95
3 N 0.0000 0.0000 0.5000 x1  2 Al 1.71
4 N 0.5000 0.5000 0.5000 x1  8 I 3.41, 2 N 3.41



Record 2
AlI2N2 | meta-GGA SCAN | single point on PBEsol structure

ΔE_f (raw) = 5.3 eV/f.u.
Polymorph energy (0 for the lowest one) = 36 meV per atom

Cell lengths 4.1334, 4.1334, 5.9201 Å; angles 90.00, 90.00, 90.00 degrees
With the nearest neighbours (Å) after each atom.
Space group P4/mmm (No. 123)
Unique sites:
1 Al 0.0000 0.0000 0.0000 x1  4 N 2.07
2 I 0.0000 0.0000 0.5000 x1  4 I 2.92, 2 Al 2.96
3 I 0.5000 0.5000 0.5000 x1  4 I 2.92
4 N 0.0000 0.5000 0.0000 x2  2 Al 2.07



Record 3
NaAlIN2 | meta-GGA SCAN | single point on PBEsol structure

ΔE_f (raw) = 7.7 eV/f.u.

Cell lengths 4.5999, 4.5999, 5.8738 Å; angles 90.00, 90.00, 90.00 degrees
With the nearest neighbours (Å) after each atom.
Space group P4/mmm (No. 123)
Unique sites:
1 Na 0.0000 0.0000 0.0000 x1  4 N 2.30
2 Al 0.5000 0.5000 0.5000 x1  4 I 3.25
3 I 0.0000 0.0000 0.5000 x1  2 Na 2.94, 4 Al 3.25
4 N 0.0000 0.5000 0.0000 x2  2 Na 2.30



Record 4
NaAlI2N | meta-GGA SCAN | single point on PBEsol structure

ΔE_f (raw) = 2.9 eV/f.u.

Cell lengths 5.8668, 5.8668, 4.5315 Å; angles 90.00, 90.00, 90.00 degrees
With the nearest neighbours (Å) after each atom.
Space group P4/mmm (No. 123)
Unique sites:
1 Na 0.0000 0.0000 0.0000 x1  2 N 2.27
2 Al 0.5000 0.5000 0.5000 x1  8 I 3.71, 4 N 4.15
3 I 0.0000 0.5000 0.0000 x2  2 Na 2.93
4 N 0.0000 0.0000 0.5000 x1  2 Na 2.27



Copy entry 2 word for word.
AlI2N2 | meta-GGA SCAN | single point on PBEsol structure

ΔE_f (raw) = 5.3 eV/f.u.
Polymorph energy (0 for the lowest one) = 36 meV per atom

Cell lengths 4.1334, 4.1334, 5.9201 Å; angles 90.00, 90.00, 90.00 degrees
With the nearest neighbours (Å) after each atom.
Space group P4/mmm (No. 123)
Unique sites:
1 Al 0.0000 0.0000 0.0000 x1  4 N 2.07
2 I 0.0000 0.0000 0.5000 x1  4 I 2.92, 2 Al 2.96
3 I 0.5000 0.5000 0.5000 x1  4 I 2.92
4 N 0.0000 0.5000 0.0000 x2  2 Al 2.07



- Which of these has the highest ΔE_f (raw)?
  NaAlIN2



- Which of these has the highest ΔE_f (raw)?
  NaAlIN2



- What is the ΔE_f (raw) in the fourth record?
  2.9 eV/f.u.